No. 1
# La8Pm2Ho3 | the Alexandria database | PBE | optimized geometry
# E_form in eV/atom: 0.173
data_La8Pm2Ho3
_chemical_formula_sum 'La16 Pm4 Ho6'
_space_group_name_H-M_alt 'C 1 2/m 1'
_space_group_IT_number 12
_cell_length_a 20.791
_cell_length_b 7.750
_cell_length_c 5.826
_cell_angle_alpha 90.00
_cell_angle_beta 90.01
_cell_angle_gamma 90.00
loop_
_space_group_symop_operation_xyz
'x,y,z'
'-x,-y,-z'
'-x,y,-z'
'x,-y,z'
'x+1/2,y+1/2,z'
'-x+1/2,-y+1/2,-z'
'-x+1/2,y+1/2,-z'
'x+1/2,-y+1/2,z'
loop_
_atom_site_label
_atom_site_fract_x
_atom_site_fract_y
_atom_site_fract_z
La1 0.104 0.200 0.000
La2 0.130 0.500 0.500
La3 0.174 0.000 0.500
Pm1 0.240 0.500 0.999
Ho1 0.000 0.218 0.500
Ho2 0.000 0.500 0.000

---

No. 2
# La3Pm6Ho | the Alexandria database | PBE | optimized geometry
# E_form in eV/atom: 0.174
data_La3Pm6Ho
_chemical_formula_sum 'La12 Pm24 Ho4'
_space_group_name_H-M_alt 'C m c 21'
_space_group_IT_number 36
_cell_length_a 13.539
_cell_length_b 16.401
_cell_length_c 6.377
_cell_angle_alpha 90.00
_cell_angle_beta 90.00
_cell_angle_gamma 90.00
loop_
_space_group_symop_operation_xyz
'x,y,z'
'-x,-y,z+1/2'
'-x,y,z'
'x,-y,z+1/2'
'x+1/2,y+1/2,z'
'-x+1/2,-y+1/2,z+1/2'
'-x+1/2,y+1/2,z'
'x+1/2,-y+1/2,z+1/2'
loop_
_atom_site_label
_atom_site_fract_x
_atom_site_fract_y
_atom_site_fract_z
La1 0.000 0.135 0.000
La2 0.207 0.427 0.635
Pm1 0.000 0.242 0.471
Pm2 0.000 0.439 0.355
Pm3 0.119 0.060 0.517
Pm4 0.224 0.290 0.186
Ho1 0.000 0.346 0.906

---

No. 3
# La2Pm5Ho2 | the Alexandria database | PBE | optimized geometry
# E_form in eV/atom: 0.192
data_La2Pm5Ho2
_chemical_formula_sum 'La8 Pm20 Ho8'
_space_group_name_H-M_alt 'I m a 2'
_space_group_IT_number 46
_cell_length_a 15.066
_cell_length_b 12.040
_cell_length_c 6.876
_cell_angle_alpha 90.00
_cell_angle_beta 90.00
_cell_angle_gamma 90.00
loop_
_space_group_symop_operation_xyz
'x,y,z'
'-x,-y,z'
'-x+1/2,y,z'
'x+1/2,-y,z'
'x+1/2,y+1/2,z+1/2'
'-x+1/2,-y+1/2,z+1/2'
'-x,y+1/2,z+1/2'
'x,-y+1/2,z+1/2'
loop_
_atom_site_label
_atom_site_fract_x
_atom_site_fract_y
_atom_site_fract_z
La1 0.126 0.003 0.000
Pm1 0.053 0.749 0.146
Pm2 0.143 0.234 0.318
Pm3 0.250 0.740 0.350
Ho1 0.000 0.000 0.467
Ho2 0.250 0.008 0.537

---

Number 1: density 6708 kg/m3. Number 2: density 6809 kg/m3. Number 3: density 7098 kg/m3.